1.
Li2BeCu | PBE | relaxed

Structure (POSCAR):
```
Li2BeCu
1.0
-1.345 1.994 4.338
1.345 -1.994 4.338
1.345 1.994 -4.338
Li Be Cu
2 1 1
Direct
0.245 0.245 0.000
0.755 0.755 0.000
0.000 0.500 0.500
0.500 0.000 0.500
```

Calculated values
- Spin magnetization: 0.0000 μB per atom
- Space-group type: Immm
- ΔH_f (0 K): 0.097 eV per atom
- VASP energy: -2.8158 eV/atom
- Density of states at the Fermi level: 0.276 states/eV/atom


2.
Li2BeCu6 | PBE | relaxed

Structure (POSCAR):
```
Li2BeCu6
1.0
5.784 -3.986 0.000
5.784 3.986 0.000
-0.786 0.000 4.669
Li Be Cu
4 2 12
Direct
0.142 0.218 0.391
0.218 0.142 0.891
0.782 0.858 0.109
0.858 0.782 0.609
0.401 0.599 0.250
0.599 0.401 0.750
0.106 0.538 0.209
0.148 0.840 0.998
0.160 0.852 0.502
0.261 0.492 0.727
0.462 0.894 0.291
0.492 0.261 0.227
0.508 0.739 0.773
0.538 0.106 0.709
0.739 0.508 0.273
0.840 0.148 0.498
0.852 0.160 0.002
0.894 0.462 0.791
```

Calculated values
- Spin magnetization: 0.0000 μB per atom
- Space-group type: C2/c
- ΔH_f (0 K): 0.017 eV per atom
- VASP energy: -3.5529 eV/atom
- Density of states at the Fermi level: 0.193 states/eV/atom


3.
LiBe2Cu | PBE | relaxed

Structure (POSCAR):
```
LiBe2Cu
1.0
-2.025 2.025 7.643
2.025 -2.025 7.643
2.025 2.025 -7.643
Li Be Cu
2 4 2
Direct
0.375 0.625 0.750
0.625 0.375 0.250
0.000 0.000 0.000
0.000 0.000 0.500
0.000 0.500 0.000
0.500 0.000 0.500
0.125 0.875 0.250
0.875 0.125 0.750
```

Calculated values
- Spin magnetization: 0.0000 μB per atom
- Space-group type: I4_1/amd
- ΔH_f (0 K): 0.515 eV per atom
- VASP energy: -2.8510 eV/atom
- Density of states at the Fermi level: 0.421 states/eV/atom